# PBE-GGA Pm3YGe3, optimized geometry
# uncorrected energy	-5.64	eV per atom
# DOS(E_F)	14.732	states/eV per cell
# ΔE_f	-697	meV per atom
data_Pm3YGe3
_cell_length_a 8.8438
_cell_length_b 8.8438
_cell_length_c 18.0429
_cell_angle_alpha 90.00
_cell_angle_beta 90.00
_cell_angle_gamma 120.00
_symmetry_space_group_name_H-M 'R -3'
_symmetry_Int_Tables_number 148
_symmetry_space_group_name_Hall '-R 3'
loop_
_atom_site_label
_atom_site_fract_x
_atom_site_fract_y
_atom_site_fract_z
Pm1 0.0108 0.2863 0.0936
Y1 0.0000 0.0000 0.3301
Ge1 0.0068 0.3750 0.9266